# 1
Below is a relaxed Cs2HBr6N crystal, with properties calculated at the PBE level.

Summary:
Space-group type = I4/mmm, No. 139
Total DFT energy (no corrections) = -2.45 eV/atom
Crystal system = tetragonal
Total magnetic moment = 0.00 μB per formula unit

a = 7.9689 Å, b = 7.9689 Å, c = 7.9689 Å
α = 129.28°, β = 129.28°, γ = 74.55°
Closest atoms and distances in Å follow each position.
Sites, in units of the cell vectors:
1 Cs 0.2500 0.7500 0.5000  4 Br 3.50
2 Cs 0.7500 0.2500 0.5000  4 Br 3.50
3 H 0.0000 0.0000 0.0000  4 Br 2.34
4 Br 0.2423 0.2423 0.4845  1 H 2.34, 1 N 2.49
5 Br 0.2423 0.7577 0.0000  1 H 2.34, 1 N 2.49
6 Br 0.3118 0.3118 0.0000  1 N 2.39
7 Br 0.6882 0.6882 0.0000  1 N 2.39
8 Br 0.7577 0.2423 0.0000  1 H 2.34, 1 N 2.49
9 Br 0.7577 0.7577 0.5155  1 H 2.34, 1 N 2.49
10 N 0.5000 0.5000 0.0000  6 Br 2.39-2.49

***

# 2
Below is a relaxed CsH6Br2N crystal, with properties calculated at the PBE level.

Summary:
Space-group type = R3m, No. 160
Total DFT energy (no corrections) = -3.65 eV/atom
Crystal system = trigonal
Total magnetic moment = 0.10 μB per formula unit

a = 10.4646 Å, b = 10.4646 Å, c = 10.4646 Å
α = 26.58°, β = 26.58°, γ = 26.58°
Closest atoms and distances in Å follow each position.
Sites, in units of the cell vectors:
1 Cs 0.0000 0.0000 0.0000  3 Br 3.37
2 H 0.3143 0.5086 0.5086  2 H 0.93
3 H 0.4266 0.4266 0.7637  1 N 1.03
4 H 0.4266 0.7637 0.4266  1 N 1.03
5 H 0.5086 0.3143 0.5086  2 H 0.93
6 H 0.5086 0.5086 0.3143  2 H 0.93
7 H 0.7637 0.4266 0.4266  1 N 1.03
8 Br 0.2705 0.2705 0.2705  3 H 2.69
9 Br 0.7627 0.7627 0.7627  3 H 2.28
10 N 0.5250 0.5250 0.5250  3 H 1.03